(1)
BaPrSe2 after structural relaxation. Source: Alexandria via LeMat-Bulk, functional PBE.

Values from the calculation:
Space group ... No. 194
Density ... 5.8 Mg/m³
Total moment ... 0.00 μB/cell
DOS(E_F) ... 0.3771 states/eV/atom
Formation energy from raw total energies ... -1.9055 eV/atom
E_tot ... -5.32 eV/atom

Lattice parameters (Å, degrees): 4.381 4.381 15.152 90.00 90.00 120.00
Positions (direct):
Pr: 0.000 0.000 0.500
Pr: 0.000 0.000 0.000
Se: 0.667 0.333 0.612
Se: 0.667 0.333 0.888
Se: 0.333 0.667 0.388
Se: 0.333 0.667 0.112
Ba: 0.333 0.667 0.750
Ba: 0.667 0.333 0.250

(2)
Cs2AcI6 after structural relaxation. Source: Alexandria via LeMat-Bulk, functional PBE.

Values from the calculation:
Space group ... No. 38
Density ... 4.8 Mg/m³
Total moment ... 0.78 μB/cell
DOS(E_F) ... 1.4978 states/eV/atom
Formation energy from raw total energies ... -1.3275 eV/atom
E_tot ... -3.01 eV/atom

Lattice parameters (Å, degrees): 5.149 9.869 9.906 119.88 90.00 90.00
Positions (direct):
Cs: 0.000 0.332 0.665
Cs: 0.000 0.666 0.335
I: 0.500 0.650 0.000
I: 0.000 0.767 0.767
I: 0.000 0.235 0.000
I: 0.500 0.350 0.352
I: 0.500 0.999 0.648
I: 0.000 0.999 0.233
Ac: 0.500 0.001 0.000

(3)
NiPbBr2 after structural relaxation. Source: Alexandria via LeMat-Bulk, functional PBE.

Values from the calculation:
Space group ... No. 99
Density ... 5.8 Mg/m³
Total moment ... 0.00 μB/cell
DOS(E_F) ... 0.0992 states/eV/atom
Formation energy from raw total energies ... -0.0532 eV/atom
E_tot ... -3.26 eV/atom

Lattice parameters (Å, degrees): 4.011 4.011 7.606 90.00 90.00 90.00
Positions (direct):
Br: 0.000 0.000 0.907
Br: 0.500 0.500 0.313
Ni: 0.000 0.000 0.607
Pb: 0.500 0.500 0.672

(4)
DyMoH3 after structural relaxation. Source: Alexandria via LeMat-Bulk, functional PBE.

Values from the calculation:
Space group ... No. 221
Density ... 8.7 Mg/m³
Total moment ... 0.00 μB/cell
DOS(E_F) ... 0.0845 states/eV/atom
E_tot ... -5.41 eV/atom

Lattice parameters (Å, degrees): 3.684 3.684 3.684 90.00 90.00 90.00
Positions (direct):
H: 0.000 0.500 0.000
H: 0.000 0.000 0.500
H: 0.500 0.000 0.000
Mo: 0.000 0.000 0.000
Dy: 0.500 0.500 0.500

(5)
CaEuErCd after structural relaxation. Source: Alexandria via LeMat-Bulk, functional PBE.

Values from the calculation:
Space group ... No. 216
Density ... 6.2 Mg/m³
Total moment ... 7.74 μB/cell
DOS(E_F) ... 0.9855 states/eV/atom
Energy relative to the elements ... 0.00 eV/atom
E_tot ... -4.44 eV/atom

Lattice parameters (Å, degrees): 5.627 5.627 5.627 60.00 60.00 60.00
Positions (direct):
Cd: 0.750 0.750 0.750
Eu: 0.000 0.000 0.000
Er: 0.500 0.500 0.500
Ca: 0.250 0.250 0.250

(6)
SrLaCr2 after structural relaxation. Source: Alexandria via LeMat-Bulk, functional PBE.

Values from the calculation:
Space group ... No. 122
Density ... 5.9 Mg/m³
Total moment ... 0.09 μB/cell
DOS(E_F) ... 2.9259 states/eV/atom
Energy relative to the elements ... 1.62 eV/atom
E_tot ... -4.85 eV/atom

Lattice parameters (Å, degrees): 7.917 7.917 6.340 51.36 51.36 90.00
Positions (direct):
Cr: 0.103 0.625 0.250
Cr: 0.875 0.897 0.750
Cr: 0.375 0.353 0.750
Cr: 0.647 0.125 0.250
La: 0.000 0.000 0.000
La: 0.750 0.250 0.500
Sr: 0.500 0.500 0.000
Sr: 0.250 0.750 0.500